# 1
DFT (PBE) results for crystalline CeHoZnRu at its relaxed geometry.

```
data_CeHoZnRu
_chemical_formula_sum 'Ce4 Ho4 Zn4 Ru4'
_cell_length_a 6.988
_cell_length_b 6.988
_cell_length_c 6.988
_cell_angle_alpha 90.00
_cell_angle_beta 90.00
_cell_angle_gamma 90.00
_space_group_name_H-M_alt 'F -4 3 m'
_space_group_IT_number 216
_space_group_name_Hall 'F -4 2 3'
loop_
_atom_site_label
_atom_site_fract_x
_atom_site_fract_y
_atom_site_fract_z
Ce1 0.000 0.000 0.000
Ho1 0.000 0.000 0.500
Zn1 0.250 0.250 0.250
Ru1 0.250 0.250 0.750
```

## Properties
DOS at the Fermi energy   15.1 states/eV/cell
Energy of formation from the pure elements   -0.312 eV/atom
Total moment   0.004 μB per formula unit

***

# 2
DFT (PBE) results for crystalline LiMg6Pb5 at its relaxed geometry.

```
data_LiMg6Pb5
_chemical_formula_sum 'Li2 Mg12 Pb10'
_cell_length_a 4.769
_cell_length_b 15.110
_cell_length_c 8.402
_cell_angle_alpha 90.00
_cell_angle_beta 90.00
_cell_angle_gamma 90.00
_space_group_name_H-M_alt 'C m m m'
_space_group_IT_number 65
_space_group_name_Hall '-C 2 2'
loop_
_atom_site_label
_atom_site_fract_x
_atom_site_fract_y
_atom_site_fract_z
Li1 0.000 0.000 0.000
Mg1 0.000 0.170 0.235
Mg2 0.000 0.500 0.259
Pb1 0.000 0.000 0.500
Pb2 0.000 0.330 0.500
Pb3 0.000 0.356 0.000
```

## Properties
DOS at the Fermi energy   9.1 states/eV/cell
Energy of formation from the pure elements   -0.077 eV/atom
Total moment   0.000 μB per formula unit

***

# 3
DFT (PBE) results for crystalline KSrAg2Cl8 at its relaxed geometry.

```
data_KSrAg2Cl8
_chemical_formula_sum 'K2 Sr2 Ag4 Cl16'
_cell_length_a 7.304
_cell_length_b 7.304
_cell_length_c 12.625
_cell_angle_alpha 90.00
_cell_angle_beta 90.00
_cell_angle_gamma 90.00
_space_group_name_H-M_alt 'I -4'
_space_group_IT_number 82
loop_
_space_group_symop_operation_xyz
'x,y,z'
'y,-x,-z'
'-x,-y,z'
'-y,x,-z'
'x+1/2,y+1/2,z+1/2'
'y+1/2,-x+1/2,-z+1/2'
'-x+1/2,-y+1/2,z+1/2'
'-y+1/2,x+1/2,-z+1/2'
loop_
_atom_site_label
_atom_site_fract_x
_atom_site_fract_y
_atom_site_fract_z
K1 0.000 0.000 0.000
Sr1 0.000 0.500 0.750
Ag1 0.000 0.000 0.500
Ag2 0.000 0.500 0.250
Cl1 0.053 0.318 0.518
Cl2 0.143 0.806 0.226
```

## Properties
DOS at the Fermi energy   5.6 states/eV/cell
E_form (uncorrected)   -1041.1 meV/atom
Total moment   0.917 μB per formula unit